(1)
Below is a relaxed Na2Nb4Se7 crystal, with properties calculated at the PBE-GGA level.

Results
space-group type: No. 162
uncorrected energy: -5.7557 eV per atom
formation energy from raw total energies: -0.578 eV per atom

Lattice parameters (Å, degrees): 6.401 6.401 8.186 90.00 90.00 120.00
Fractional coordinates of all 13 atoms:
Na 0.333 0.667 0.000
Na 0.667 0.333 0.000
Nb 0.000 0.000 0.338
Nb 0.000 0.000 0.662
Nb 0.333 0.667 0.500
Nb 0.667 0.333 0.500
Se 0.000 0.000 0.000
Se 0.000 0.392 0.280
Se 0.000 0.608 0.720
Se 0.392 0.000 0.280
Se 0.392 0.392 0.720
Se 0.608 0.000 0.720
Se 0.608 0.608 0.280


(2)
Below is a relaxed Ca2TiTcO6 crystal, with properties calculated at the PBE-GGA level.

Results
space-group type: No. 99
uncorrected energy: -7.7311 eV per atom
formation energy from raw total energies: -2.530 eV per atom

Lattice parameters (Å, degrees): 5.564 5.564 3.882 90.00 90.00 90.00
Fractional coordinates of all 10 atoms:
Ca 0.000 0.500 0.000
Ca 0.500 0.000 0.000
Ti 0.000 0.000 0.544
Tc 0.500 0.500 0.562
O 0.000 0.000 0.059
O 0.247 0.247 0.570
O 0.247 0.753 0.570
O 0.500 0.500 0.063
O 0.753 0.247 0.570
O 0.753 0.753 0.570